--- one ---
# NbTeIN2

Crystalline NbTeIN2 at its relaxed geometry (PBEsol, Alexandria).

Output
Total magnetic moment in μB/f.u.: 2.338

Lattice parameters (Å, degrees): 3.9828 3.9828 6.7221 90.00 90.00 90.00
Last column: nearest neighbours and their distance in Å.
Space group P4/mmm (No. 123)
Unique sites:
Nb 0.0000 0.0000 0.0000  4 Te 2.82
Te 0.5000 0.5000 0.0000  4 Nb 2.82
I 0.5000 0.5000 0.5000  4 N 1.99
N 0.0000 0.5000 0.5000  2 I 1.99

---

--- two ---
# NbTeIN2

Crystalline NbTeIN2 at its relaxed geometry (PBEsol, Alexandria).

Output
Total magnetic moment in μB/f.u.: 0.826

Lattice parameters (Å, degrees): 4.1348 4.1348 5.8895 90.00 90.00 90.00
Last column: nearest neighbours and their distance in Å.
Space group P4/mmm (No. 123)
Unique sites:
Nb 0.0000 0.0000 0.0000  4 N 2.07
Te 0.0000 0.0000 0.5000  4 I 2.92, 2 Nb 2.94
I 0.5000 0.5000 0.5000  4 Te 2.92
N 0.0000 0.5000 0.0000  2 Nb 2.07

---

Which structure wins on stability? two wins.

---

--- one ---
# YNbIN2

Crystalline YNbIN2 at its relaxed geometry (PBEsol, Alexandria).

Output
Total magnetic moment in μB/f.u.: 0.000

Lattice parameters (Å, degrees): 4.1483 4.1483 5.3649 90.00 90.00 90.00
Last column: nearest neighbours and their distance in Å.
Space group P4/mmm (No. 123)
Unique sites:
Y 0.0000 0.0000 0.0000  4 I 2.93
Nb 0.5000 0.5000 0.5000  4 N 2.07
I 0.5000 0.5000 0.0000  2 Nb 2.68, 4 Y 2.93
N 0.0000 0.5000 0.5000  2 Nb 2.07

---

--- two ---
# YNbIN2

Crystalline YNbIN2 at its relaxed geometry (PBEsol, Alexandria).

Output
Total magnetic moment in μB/f.u.: 0.978

Lattice parameters (Å, degrees): 4.3661 4.3661 5.7321 90.00 90.00 90.00
Last column: nearest neighbours and their distance in Å.
Space group P4/mmm (No. 123)
Unique sites:
Y 0.0000 0.0000 0.0000  4 N 2.18
Nb 0.5000 0.5000 0.5000  4 I 3.09
I 0.0000 0.0000 0.5000  2 Y 2.87, 4 Nb 3.09
N 0.0000 0.5000 0.0000  2 Y 2.18

---

Which structure wins on stability? one wins.

---

--- one ---
# NiSeIN2

Crystalline NiSeIN2 at its relaxed geometry (PBEsol, Alexandria).

Output
Total magnetic moment in μB/f.u.: 0.905

Lattice parameters (Å, degrees): 3.8299 3.8299 5.8201 90.00 90.00 90.00
Last column: nearest neighbours and their distance in Å.
Space group P4/mmm (No. 123)
Unique sites:
Ni 0.0000 0.0000 0.0000  4 Se 2.71
Se 0.5000 0.5000 0.0000  4 Ni 2.71, 2 I 2.91
I 0.5000 0.5000 0.5000  4 N 1.91
N 0.0000 0.5000 0.5000  2 I 1.91

---

--- two ---
# NiSeIN2

Crystalline NiSeIN2 at its relaxed geometry (PBEsol, Alexandria).

Output
Total magnetic moment in μB/f.u.: 0.344

Lattice parameters (Å, degrees): 3.6603 3.6603 6.9659 90.00 90.00 90.00
Last column: nearest neighbours and their distance in Å.
Space group P4/mmm (No. 123)
Unique sites:
Ni 0.0000 0.0000 0.0000  4 I 2.59
Se 0.5000 0.5000 0.5000  4 N 1.83
I 0.5000 0.5000 0.0000  4 Ni 2.59
N 0.0000 0.5000 0.5000  2 Se 1.83

---

Which structure wins on stability? two wins.

---

--- one ---
# TeOsIN2

Crystalline TeOsIN2 at its relaxed geometry (PBEsol, Alexandria).

Output
Total magnetic moment in μB/f.u.: 0.000

Lattice parameters (Å, degrees): 3.9602 3.9602 5.7324 90.00 90.00 90.00
Last column: nearest neighbours and their distance in Å.
Space group P4/mmm (No. 123)
Unique sites:
Te 0.0000 0.0000 0.0000  4 I 2.80, 2 Os 2.87
Os 0.0000 0.0000 0.5000  4 N 1.98
I 0.5000 0.5000 0.0000  4 Te 2.80
N 0.0000 0.5000 0.5000  2 Os 1.98

---

--- two ---
# TeOsIN2

Crystalline TeOsIN2 at its relaxed geometry (PBEsol, Alexandria).

Output
Total magnetic moment in μB/f.u.: 2.318

Lattice parameters (Å, degrees): 3.9034 3.9034 6.7319 90.00 90.00 90.00
Last column: nearest neighbours and their distance in Å.
Space group P4/mmm (No. 123)
Unique sites:
Te 0.0000 0.0000 0.0000  4 N 1.95
Os 0.5000 0.5000 0.5000  4 I 2.76
I 0.0000 0.0000 0.5000  4 Os 2.76
N 0.0000 0.5000 0.0000  2 Te 1.95

---

Which structure wins on stability? one wins.

---

--- one ---
# SbPIN2

Crystalline SbPIN2 at its relaxed geometry (PBEsol, Alexandria).

Output
Total magnetic moment in μB/f.u.: 0.662

Lattice parameters (Å, degrees): 3.9001 3.9001 5.4184 90.00 90.00 90.00
Last column: nearest neighbours and their distance in Å.
Space group P4/mmm (No. 123)
Unique sites:
Sb 0.0000 0.0000 0.0000  2 P 2.71, 4 I 2.76
P 0.0000 0.0000 0.5000  4 N 1.95
I 0.5000 0.5000 0.0000  4 Sb 2.76
N 0.0000 0.5000 0.5000  2 P 1.95

---

--- two ---
# SbPIN2

Crystalline SbPIN2 at its relaxed geometry (PBEsol, Alexandria).

Output
Total magnetic moment in μB/f.u.: 1.632

Lattice parameters (Å, degrees): 3.9843 3.9843 6.6651 90.00 90.00 90.00
Last column: nearest neighbours and their distance in Å.
Space group P4/mmm (No. 123)
Unique sites:
Sb 0.0000 0.0000 0.0000  4 N 1.99
P 0.5000 0.5000 0.5000  4 I 2.82
I 0.0000 0.0000 0.5000  4 P 2.82
N 0.0000 0.5000 0.0000  2 Sb 1.99

---

--- three ---
# SbPIN2

Crystalline SbPIN2 at its relaxed geometry (PBEsol, Alexandria).

Output
Total magnetic moment in μB/f.u.: 0.003

Lattice parameters (Å, degrees): 3.9768 3.9768 5.0710 90.00 90.00 90.00
Last column: nearest neighbours and their distance in Å.
Space group P4/mmm (No. 123)
Unique sites:
Sb 0.0000 0.0000 0.0000  4 I 2.81
P 0.5000 0.5000 0.5000  4 N 1.99
I 0.5000 0.5000 0.0000  2 P 2.54, 4 Sb 2.81
N 0.0000 0.5000 0.5000  2 P 1.99

---

Which structure wins on stability? one wins.

---

--- one ---
# PdS2IN

Crystalline PdS2IN at its relaxed geometry (PBEsol, Alexandria).

Output
Total magnetic moment in μB/f.u.: 0.003

Lattice parameters (Å, degrees): 4.9167 4.9167 3.6802 90.00 90.00 90.00
Last column: nearest neighbours and their distance in Å.
Space group P4/mmm (No. 123)
Unique sites:
Pd 0.0000 0.0000 0.0000  2 N 1.84
S 0.0000 0.5000 0.0000  2 Pd 2.46
I 0.5000 0.5000 0.5000  8 S 3.07
N 0.0000 0.0000 0.5000  2 Pd 1.84

---

--- two ---
# PdS2IN

Crystalline PdS2IN at its relaxed geometry (PBEsol, Alexandria).

Output
Total magnetic moment in μB/f.u.: 0.036

Lattice parameters (Å, degrees): 5.0533 5.0533 3.8192 90.00 90.00 90.00
Last column: nearest neighbours and their distance in Å.
Space group P4/mmm (No. 123)
Unique sites:
Pd 0.0000 0.0000 0.0000  8 S 3.17
S 0.0000 0.5000 0.5000  2 I 2.53
I 0.5000 0.5000 0.5000  2 N 1.91
N 0.5000 0.5000 0.0000  2 I 1.91

---

Which structure wins on stability? one wins.

---

--- one ---
# ScRhI2N

Crystalline ScRhI2N at its relaxed geometry (PBEsol, Alexandria).

Output
Total magnetic moment in μB/f.u.: 0.938

Lattice parameters (Å, degrees): 5.5262 5.5262 3.6628 90.00 90.00 90.00
Last column: nearest neighbours and their distance in Å.
Space group P4/mmm (No. 123)
Unique sites:
Sc 0.0000 0.0000 0.0000  8 I 3.31, 2 Sc 3.66
Rh 0.5000 0.5000 0.5000  2 N 1.83
I 0.0000 0.5000 0.5000  2 Rh 2.76
N 0.5000 0.5000 0.0000  2 Rh 1.83

---

--- two ---
# ScRhI2N

Crystalline ScRhI2N at its relaxed geometry (PBEsol, Alexandria).

Output
Total magnetic moment in μB/f.u.: 2.587

Lattice parameters (Å, degrees): 5.6568 5.6568 3.7920 90.00 90.00 90.00
Last column: nearest neighbours and their distance in Å.
Space group P4/mmm (No. 123)
Unique sites:
Sc 0.0000 0.0000 0.0000  2 N 1.90
Rh 0.5000 0.5000 0.5000  8 I 3.41, 2 Rh 3.79
I 0.0000 0.5000 0.0000  2 Sc 2.83
N 0.0000 0.0000 0.5000  2 Sc 1.90

---

Which structure wins on stability? one wins.

---

--- one ---
# TlRhIN2

Crystalline TlRhIN2 at its relaxed geometry (PBEsol, Alexandria).

Output
Total magnetic moment in μB/f.u.: 0.120

Lattice parameters (Å, degrees): 4.0507 4.0507 5.5401 90.00 90.00 90.00
Last column: nearest neighbours and their distance in Å.
Space group P4/mmm (No. 123)
Unique sites:
Tl 0.0000 0.0000 0.0000  4 I 2.86
Rh 0.5000 0.5000 0.5000  4 N 2.03
I 0.5000 0.5000 0.0000  2 Rh 2.77, 4 Tl 2.86
N 0.0000 0.5000 0.5000  2 Rh 2.03

---

--- two ---
# TlRhIN2

Crystalline TlRhIN2 at its relaxed geometry (PBEsol, Alexandria).

Output
Total magnetic moment in μB/f.u.: 3.778

Lattice parameters (Å, degrees): 4.1128 4.1128 6.5093 90.00 90.00 90.00
Last column: nearest neighbours and their distance in Å.
Space group P4/mmm (No. 123)
Unique sites:
Tl 0.0000 0.0000 0.0000  4 N 2.06
Rh 0.5000 0.5000 0.5000  4 I 2.91
I 0.0000 0.0000 0.5000  4 Rh 2.91, 2 Tl 3.25
N 0.0000 0.5000 0.0000  2 Tl 2.06

---

Which structure wins on stability? one wins.